[1]
VASP calculation (GGA-PBE) on crystalline BeAs2Se at its relaxed geometry.

Geometry as extended XYZ:
```
4
Lattice="3.227 0.000 0.000 0.000 4.706 0.000 0.000 0.000 4.564" Properties=species:S:1:pos:R:3 pbc="T T T"
As 0.000 0.000 0.000
As 1.614 2.353 0.000
Se 0.000 2.353 2.282
Be 1.614 0.000 2.282
```

Calculated values
- Size of the total moment: 0.00 μB per atom
- Offset from the most stable computed form: 3.45 eV/f.u.
- Total energy: -3.56 eV/atom
- SG: Pmmm, No. 47

---

[2]
VASP calculation (GGA-PBE) on crystalline Cs8SeI4Br3 at its relaxed geometry.

Geometry as extended XYZ:
```
16
Lattice="10.848 0.000 0.000 0.000 10.716 -0.101 -5.424 -5.420 7.680" Properties=species:S:1:pos:R:3 pbc="T T T"
Cs 5.424 0.113 3.874
I -2.712 -2.710 3.840
Cs 0.000 5.183 3.706
Br 5.424 5.358 -0.050
Cs 8.106 2.793 0.076
Br -2.712 2.648 3.790
Cs -2.682 2.503 7.503
I 0.000 0.000 0.000
Se 0.000 5.358 -0.050
Cs 2.741 2.793 0.076
Cs 5.424 5.215 3.685
Cs 2.682 2.503 7.503
Cs 0.000 0.081 3.895
Br 2.712 2.648 3.790
I 5.424 0.000 0.000
I 2.712 -2.710 3.840
```

Calculated values
- Size of the total moment: 0.06 μB per atom
- Total energy: -2.84 eV/atom
- SG: R-3m, No. 166

---

[3]
VASP calculation (GGA-PBE) on crystalline Tl2AgHg at its relaxed geometry.

Geometry as extended XYZ:
```
4
Lattice="5.004 0.000 0.000 0.000 4.998 0.000 0.000 0.000 4.177" Properties=species:S:1:pos:R:3 pbc="T T T"
Tl 0.000 0.000 0.000
Ag 2.502 0.000 2.088
Tl 2.502 2.499 0.000
Hg 0.000 2.499 2.088
```

Calculated values
- Size of the total moment: 0.00 μB per atom
- Offset from the most stable computed form: 0.07 eV/f.u.
- Total energy: -1.88 eV/atom
- SG: P4/mmm, No. 123
- ΔE_f: 0.087 eV/atom

---

[4]
VASP calculation (GGA-PBE) on crystalline TiPRhS2 at its relaxed geometry.

Geometry as extended XYZ:
```
5
Lattice="-3.915 0.570 2.293 0.335 -4.259 1.630 2.420 1.618 3.730" Properties=species:S:1:pos:R:3 pbc="T T T"
S -1.957 0.285 1.146
P 1.210 0.809 1.865
Ti 0.000 0.000 0.000
Rh -0.580 -1.035 3.827
S 0.167 -2.129 0.815
```

Calculated values
- Size of the total moment: 0.25 μB per atom
- Offset from the most stable computed form: 0.00 eV/f.u.
- Total energy: -5.46 eV/atom
- SG: P4/mmm, No. 123

---

[5]
VASP calculation (GGA-PBE) on crystalline Co3TcS at its relaxed geometry.

Geometry as extended XYZ:
```
5
Lattice="4.108 0.000 0.000 0.000 4.108 0.000 0.000 0.000 4.108" Properties=species:S:1:pos:R:3 pbc="T T T"
Co 0.000 2.054 0.000
Tc 2.054 2.054 2.054
Co 2.054 0.000 0.000
S 0.000 0.000 0.000
Co 0.000 0.000 2.054
```

Calculated values
- Size of the total moment: 1.48 μB per atom
- Offset from the most stable computed form: 0.00 eV/f.u.
- Total energy: -6.63 eV/atom
- SG: Pm-3m, No. 221

---

[6]
VASP calculation (GGA-PBE) on crystalline Cd4In3Hg8 at its relaxed geometry.

Geometry as extended XYZ:
```
15
Lattice="-0.772 -7.939 5.947 2.367 -7.986 -1.969 3.742 -0.920 7.643" Properties=species:S:1:pos:R:3 pbc="T T T"
Hg 1.484 -6.013 4.208
Hg 3.853 -10.833 7.413
In 1.871 -0.460 3.821
Cd 0.797 -7.963 1.989
In -0.386 -3.970 2.974
Hg 3.008 -6.680 8.181
Hg 1.536 -2.248 1.433
Cd 0.000 0.000 0.000
Cd 1.485 -4.430 6.795
Cd 2.668 -8.423 5.810
Hg 3.379 -2.788 5.103
Hg 3.800 -14.598 10.188
Hg 2.730 -6.119 0.571
Hg 2.329 -10.166 3.440
In 1.183 -3.993 -0.985
```

Calculated values
- Size of the total moment: 0.00 μB per atom
- Total energy: -0.92 eV/atom
- SG: C2/m, No. 12
- ΔE_f: 0.035 eV/atom